PBE H2Pd2F7, optimized geometry; energy = -3.98 eV/atom
1.0
2.9383 -5.1605 0.0000
2.9383 5.1605 0.0000
-0.7123 0.0000 4.8528
H Pd F
2 2 7
Direct
0.1750 0.1750 0.1324 H
0.8250 0.8250 0.8676 H
0.3239 0.6761 0.5000 Pd
0.6761 0.3239 0.5000 Pd
0.0000 0.0000 0.0000 F
0.0429 0.4082 0.7130 F
0.3490 0.3490 0.2676 F
0.4082 0.0429 0.7130 F
0.5918 0.9571 0.2870 F
0.6510 0.6510 0.7324 F
0.9571 0.5918 0.2870 F

***

PBE VSnOsPt2, optimized geometry; ΔH_f (0 K) = 1.99 eV per atom; energy = -5.30 eV/atom
1.0
4.7713 0.0000 0.0000
0.0000 4.7713 0.0000
0.0000 0.0000 4.7543
V Sn Os Pt
1 1 1 2
Direct
0.0000 0.0000 0.0000 V
0.0000 0.0000 0.5000 Sn
0.5000 0.5000 0.0000 Os
0.0000 0.5000 0.5000 Pt
0.5000 0.0000 0.5000 Pt

***

PBE ErBi2As2Pd7, optimized geometry; ΔH_f (0 K) = -0.48 eV per atom; energy = -5.31 eV/atom
1.0
2.8954 -2.8805 0.0000
2.8954 2.8805 0.0000
-1.6142 0.0000 14.1978
Er Bi As Pd
1 2 2 7
Direct
0.0000 0.0000 0.0000 Er
0.1265 0.1265 0.3906 Bi
0.8735 0.8735 0.6094 Bi
0.4286 0.4286 0.7503 As
0.5714 0.5714 0.2497 As
0.0421 0.5416 0.1479 Pd
0.3520 0.3520 0.5736 Pd
0.4584 0.9579 0.8521 Pd
0.5000 0.5000 0.0000 Pd
0.5416 0.0421 0.1479 Pd
0.6480 0.6480 0.4264 Pd
0.9579 0.4584 0.8521 Pd

***

PBE Mg5In4Pd4, optimized geometry; ΔH_f (0 K) = -0.43 eV per atom; energy = -3.49 eV/atom
1.0
-5.6929 5.6929 2.0291
5.6929 -5.6929 2.0291
5.6929 5.6929 -2.0291
Mg In Pd
5 4 4
Direct
0.0000 0.0000 0.0000 Mg
0.3128 0.3768 0.6896 Mg
0.3768 0.6872 0.0640 Mg
0.6232 0.3128 0.9360 Mg
0.6872 0.6232 0.3104 Mg
0.1194 0.5996 0.7190 In
0.4004 0.1194 0.5198 In
0.5996 0.8806 0.4802 In
0.8806 0.4004 0.2810 In
0.0477 0.2237 0.2714 Pd
0.2237 0.9523 0.1760 Pd
0.7763 0.0477 0.8240 Pd
0.9523 0.7763 0.7286 Pd